[1]
Computed, not measured: crystalline Dy2SnHg3 at its relaxed geometry at the PBE level of DFT.

The energy of formation from the pure elements comes out at -280 meV/atom. The value obtained for the excess energy over the best structure of this formula in the dataset is 132 meV/atom. As for the total energy: -2.63 eV per atom.

```
Dy2SnHg3
1.0
-0.5774 3.3506 -0.7853
-3.1837 -1.1680 -2.6425
-5.2406 -0.3813 9.9798
Dy Sn Hg
2 1 3
direct
0.1121 0.1121 0.2242 Dy
0.8872 0.3872 0.7743 Dy
0.4586 0.9586 0.9172 Sn
0.6931 0.6931 0.3862 Hg
0.5443 0.5443 0.0886 Hg
0.3047 0.8047 0.6095 Hg
```



[2]
Computed, not measured: crystalline Nd3Mg2In4 at its relaxed geometry at the PBE level of DFT.

The energy of formation from the pure elements comes out at -425 meV/atom. As for the total energy: -3.59 eV per atom.

```
Nd3Mg2In4
1.0
-3.1345 2.9639 2.4974
-2.8868 -4.0061 -3.8433
2.7466 -3.9485 8.1334
Nd Mg In
3 2 4
direct
0.6649 0.3298 0.6682 Nd
0.0000 0.0000 0.0000 Nd
0.3351 0.6702 0.3318 Nd
0.6138 0.2276 0.2827 Mg
0.3862 0.7724 0.7173 Mg
0.7081 0.4162 0.0468 In
0.2919 0.5838 0.9532 In
0.9338 0.8675 0.6027 In
0.0662 0.1325 0.3973 In
```



[3]
Computed, not measured: crystalline CoAgP3 at its relaxed geometry at the PBE level of DFT.

The energy of formation from the pure elements comes out at 590 meV/atom. The value obtained for the excess energy over the best structure of this formula in the dataset is 0 meV/atom. As for the total energy: -4.65 eV per atom.

```
CoAgP3
1.0
-1.5136 0.9354 4.0228
3.6298 -1.7428 1.7710
1.9705 3.9289 -0.1722
P Co Ag
3 1 1
direct
0.0000 0.5000 0.0000 P
0.0000 0.0000 0.5000 P
0.5000 0.0000 0.0000 P
0.0000 0.0000 0.0000 Co
0.5000 0.5000 0.5000 Ag
```



[4]
Computed, not measured: crystalline PrSm2AlO at its relaxed geometry at the PBE level of DFT.

The value obtained for the uncorrected formation energy is -1.325 eV per atom. As for the total energy: -5.91 eV per atom.

```
PrSm2AlO
1.0
4.9876 0.0000 0.0000
0.0000 4.8552 0.0000
0.0000 0.0000 4.8552
Pr Sm Al O
1 2 1 1
direct
0.5000 0.0000 0.0000 Pr
0.0000 0.0000 0.5000 Sm
0.0000 0.5000 0.0000 Sm
0.5000 0.5000 0.5000 Al
0.0000 0.0000 0.0000 O
```